Record 1
A plane-wave DFT calculation with PBE-GGA was carried out for a relaxed structure of RbPuCu2F8.

Values from the calculation:
Total magnetic moment: 2.99 μB per formula unit
Calculated total energy: -0.4127 Ry per atom
Fermi-level density of states: 50.79 states/eV/cell
Formation energy from raw total energies: -2.41 eV/atom

a b c (Å): 5.3389 5.3389 24.4369
angles (deg): 90.00 90.00 120.00
With the nearest neighbours (Å) after each atom.
Space group R-3 (No. 148, hexagonal axes)
Inequivalent atoms, fractional coordinates:
Rb: 0.0000 0.0000 0.0000 (multiplicity 3)  12 F 3.09-3.38
Pu: 0.0000 0.0000 0.5000 (multiplicity 3)  6 F 2.17
Cu: 0.0000 0.0000 0.2651 (multiplicity 6)  4 F 1.85-2.04
F: 0.0000 0.0000 0.3408 (multiplicity 6)  1 Cu 1.85
F: 0.0070 0.3569 0.8855 (multiplicity 18)  1 Cu 2.04, 1 Pu 2.17

***

Record 2
A plane-wave DFT calculation with PBE-GGA was carried out for a relaxed structure of Rb2PuCuF6.

Values from the calculation:
Total magnetic moment: 5.00 μB per formula unit
Calculated total energy: -0.4301 Ry per atom
Fermi-level density of states: 6.82 states/eV/cell
Formation energy from raw total energies: -2.69 eV/atom

a b c (Å): 6.7987 8.4939 6.8020
angles (deg): 90.00 90.00 90.00
With the nearest neighbours (Å) after each atom.
Space group Pmmn (No. 59, origin choice 2)
Inequivalent atoms, fractional coordinates:
Rb: 0.2500 0.0001 0.2487 (multiplicity 4)  12 F 3.20-3.42
Pu: 0.2500 0.2500 0.7492 (multiplicity 2)  6 F 2.25-2.33
Cu: 0.2500 0.7500 0.7501 (multiplicity 2)  2 F 1.92
F: 0.0160 0.2500 0.5150 (multiplicity 4)  1 Pu 2.25
F: 0.0158 0.2500 0.9833 (multiplicity 4)  1 Pu 2.25
F: 0.2500 0.5242 0.7507 (multiplicity 4)  1 Cu 1.92

***

Record 3
A plane-wave DFT calculation with PBE-GGA was carried out for a relaxed structure of Rb2PuCu3F12.

Values from the calculation:
Total magnetic moment: 1.04 μB per formula unit
Calculated total energy: -0.3823 Ry per atom
Fermi-level density of states: 39.54 states/eV/cell
Formation energy from raw total energies: -2.37 eV/atom

a b c (Å): 7.2657 7.2657 20.9269
angles (deg): 90.00 90.00 120.00
With the nearest neighbours (Å) after each atom.
Space group R-3m (No. 166, hexagonal axes)
Inequivalent atoms, fractional coordinates:
Rb: 0.0000 0.0000 0.0936 (multiplicity 6)  6 F 3.05-3.35
Pu: 0.0000 0.0000 0.5000 (multiplicity 3)  6 F 2.14
Cu: 0.0000 0.5000 0.0000 (multiplicity 9)  4 F 1.94
F: 0.0469 0.5235 0.1118 (multiplicity 18)  1 Pu 2.14, 1 Cu 2.36
F: 0.0673 0.5337 0.3453 (multiplicity 18)  2 Cu 1.94

***

Record 4
A plane-wave DFT calculation with PBE-GGA was carried out for a relaxed structure of Rb3PuCu2F9.

Values from the calculation:
Total magnetic moment: 3.98 μB per formula unit
Calculated total energy: -0.3934 Ry per atom
Fermi-level density of states: 4.28 states/eV/cell
Formation energy from raw total energies: -2.53 eV/atom

a b c (Å): 6.1555 6.1555 7.8268
angles (deg): 90.00 90.00 120.00
With the nearest neighbours (Å) after each atom.
Space group P-3m1 (No. 164)
Inequivalent atoms, fractional coordinates:
Rb: 0.0000 0.0000 0.0000 (multiplicity 1)  12 F 3.08-3.14
Rb: 0.3333 0.6667 0.7169 (multiplicity 2)  9 F 2.84-3.10
Pu: 0.0000 0.0000 0.5000 (multiplicity 1)  6 F 2.24
Cu: 0.3333 0.6667 0.1505 (multiplicity 2)  6 F 2.13-2.25
F: 0.0000 0.5000 0.0000 (multiplicity 3)  2 Cu 2.13
F: 0.1682 0.3365 0.3295 (multiplicity 6)  1 Pu 2.24, 1 Cu 2.25

***

Record 5
A plane-wave DFT calculation with PBE-GGA was carried out for a relaxed structure of PuTlCuF6.

Values from the calculation:
Total magnetic moment: 4.00 μB per formula unit
Calculated total energy: -0.4480 Ry per atom
Fermi-level density of states: 15.89 states/eV/cell
Formation energy from raw total energies: -2.54 eV/atom

a b c (Å): 5.8642 5.8642 11.9291
angles (deg): 90.00 90.00 120.00
With the nearest neighbours (Å) after each atom.
Space group P-31c (No. 163)
Inequivalent atoms, fractional coordinates:
Pu: 0.3333 0.6667 0.2500 (multiplicity 2)  6 F 2.21
Tl: 0.0000 0.0000 0.0000 (multiplicity 2)  6 F 2.82
Cu: 0.3333 0.6667 0.7500 (multiplicity 2)  6 F 2.19
F: 0.0019 0.3710 0.6509 (multiplicity 12)  1 Cu 2.19, 1 Pu 2.21

***

Record 6
A plane-wave DFT calculation with PBE-GGA was carried out for a relaxed structure of PuTl3Cu2F9.

Values from the calculation:
Total magnetic moment: 3.98 μB per formula unit
Calculated total energy: -0.3848 Ry per atom
Fermi-level density of states: 3.16 states/eV/cell
Formation energy from raw total energies: -2.14 eV/atom

a b c (Å): 6.1471 6.1471 7.8626
angles (deg): 90.00 90.00 120.00
With the nearest neighbours (Å) after each atom.
Space group P-3m1 (No. 164)
Inequivalent atoms, fractional coordinates:
Pu: 0.0000 0.0000 0.0000 (multiplicity 1)  6 F 2.24
Tl: 0.0000 0.0000 0.5000 (multiplicity 1)  12 F 3.07-3.12
Tl: 0.3333 0.6667 0.2431 (multiplicity 2)  3 F 2.69
Cu: 0.3333 0.6667 0.6651 (multiplicity 2)  6 F 2.18-2.20
F: 0.0000 0.5000 0.5000 (multiplicity 3)  2 Cu 2.20
F: 0.1663 0.3325 0.8264 (multiplicity 6)  1 Cu 2.18, 1 Pu 2.24

***

Record 7
A plane-wave DFT calculation with PBE-GGA was carried out for a relaxed structure of PuTl2CuF6.

Values from the calculation:
Total magnetic moment: 5.00 μB per formula unit
Calculated total energy: -0.4216 Ry per atom
Fermi-level density of states: 7.73 states/eV/cell
Formation energy from raw total energies: -2.30 eV/atom

a b c (Å): 6.7712 8.2824 7.1444
angles (deg): 90.00 90.00 90.00
With the nearest neighbours (Å) after each atom.
Space group Pmmn (No. 59, origin choice 2)
Inequivalent atoms, fractional coordinates:
Pu: 0.2500 0.2500 0.1784 (multiplicity 2)  6 F 2.22-2.35
Tl: 0.2500 0.0059 0.6649 (multiplicity 4)  3 F 2.73-2.79
Cu: 0.2500 0.7500 0.2424 (multiplicity 2)  2 F 1.92
F: 0.0039 0.7500 0.6075 (multiplicity 4)  1 Pu 2.30
F: 0.0261 0.2500 0.9513 (multiplicity 4)  1 Pu 2.22, 1 Cu 2.33
F: 0.2500 0.5203 0.2763 (multiplicity 4)  1 Cu 1.92

***

Record 8
A plane-wave DFT calculation with PBE-GGA was carried out for a relaxed structure of RbCuF3.

Values from the calculation:
Total magnetic moment: 0.00 μB per formula unit
Calculated total energy: -0.3102 Ry per atom
Fermi-level density of states: 5.59 states/eV/cell
Formation energy from raw total energies: -2.08 eV/atom

a b c (Å): 6.0801 6.0801 8.0167
angles (deg): 90.00 90.00 90.00
With the nearest neighbours (Å) after each atom.
Space group I4/mcm (No. 140)
Inequivalent atoms, fractional coordinates:
Rb: 0.0000 0.0000 0.2500 (multiplicity 4)  12 F 2.95-3.04
Cu: 0.0000 0.5000 0.0000 (multiplicity 4)  4 F 1.90-2.00
F: 0.0000 0.5000 0.2500 (multiplicity 4)  2 Cu 2.00
F: 0.2213 0.2787 0.0000 (multiplicity 8)  1 Cu 1.90